# KScCrF6, relaxed, DFT PBE with a Hubbard U
# Crystal system = trigonal
# Density of states at the Fermi level = 6.87 states/eV/f.u.
# Total DFT energy (no corrections) = -0.4473 Ry per atom
data_KScCrF6
_symmetry_space_group_name_H-M 'P -3 1 c'
_symmetry_Int_Tables_number 163
_symmetry_space_group_name_Hall '-P 3 2c'
_cell_length_a 5.6465
_cell_length_b 5.6465
_cell_length_c 11.1694
_cell_angle_alpha 90.00
_cell_angle_beta 90.00
_cell_angle_gamma 120.00
loop_
_atom_site_label
_atom_site_fract_x
_atom_site_fract_y
_atom_site_fract_z
K1 0.0000 0.0000 0.0000
Sc1 0.3333 0.6667 0.2500
Cr1 0.3333 0.6667 0.7500
F1 0.0124 0.3828 0.1504